Record 1
DFT (PBE) results for a relaxed structure of LuTlBi2.

Unit cell a=5.555 b=5.555 c=5.555 alpha=60.00 beta=60.00 gamma=60.00
Fractional positions:
Lu1 0.000 0.000 0.000
Tl1 0.500 0.500 0.500
Bi1 0.250 0.250 0.250
Bi2 0.750 0.750 0.750

Results
- N(E_F): 0.745 states/eV/atom
- M_tot: 0.000 Bohr magnetons per cell
- ΔE_f: -0.15 eV/atom
- Space group: Fm-3m (225)

=====

Record 2
DFT (PBE) results for a relaxed structure of Pa3OsS6.

Unit cell a=7.644 b=7.644 c=7.644 alpha=98.37 beta=98.37 gamma=98.37
Fractional positions:
Pa1 0.123 0.632 0.289
Pa2 0.289 0.123 0.632
Pa3 0.368 0.711 0.877
Pa4 0.632 0.289 0.123
Pa5 0.711 0.877 0.368
Pa6 0.877 0.368 0.711
Os1 0.000 0.000 0.000
Os2 0.500 0.500 0.500
S1 0.017 0.687 0.933
S2 0.067 0.983 0.313
S3 0.191 0.436 0.565
S4 0.313 0.067 0.983
S5 0.435 0.809 0.564
S6 0.436 0.565 0.191
S7 0.564 0.435 0.809
S8 0.565 0.191 0.436
S9 0.687 0.933 0.017
S10 0.809 0.564 0.435
S11 0.933 0.017 0.687
S12 0.983 0.313 0.067

Results
- Raw formation energy: -1152 meV per atom
- N(E_F): 1.077 states/eV/atom
- M_tot: 10.112 Bohr magnetons per cell
- Space group: R-3 (148)

=====

Record 3
DFT (PBE) results for a relaxed structure of TbDy8Ho3.

Unit cell a=9.355 b=9.355 c=9.355 alpha=131.78 beta=131.78 gamma=70.57
Fractional positions:
Tb1 0.000 0.000 0.000
Dy1 0.125 0.125 0.501
Dy2 0.125 0.624 0.000
Dy3 0.376 0.376 0.501
Dy4 0.376 0.875 0.000
Dy5 0.624 0.125 0.000
Dy6 0.624 0.624 0.499
Dy7 0.875 0.376 0.000
Dy8 0.875 0.875 0.499
Ho1 0.250 0.750 0.500
Ho2 0.500 0.500 0.000
Ho3 0.750 0.250 0.500

Results
- N(E_F): 1.093 states/eV/atom
- M_tot: 0.000 Bohr magnetons per cell
- ΔE_f: 0.73 eV/atom
- Space group: I4/mmm (139)

=====

Record 4
DFT (PBE) results for a relaxed structure of MgAuS2.

Unit cell a=7.054 b=7.054 c=7.054 alpha=132.76 beta=132.76 gamma=69.03
Fractional positions:
Mg1 0.000 0.000 0.000
Mg2 0.750 0.250 0.500
Au1 0.250 0.750 0.500
Au2 0.500 0.500 0.000
S1 0.124 0.625 0.999
S2 0.375 0.374 0.499
S3 0.626 0.125 0.001
S4 0.875 0.876 0.501

Results
- Raw formation energy: -475 meV per atom
- N(E_F): 1.101 states/eV/atom
- M_tot: 0.000 Bohr magnetons per cell
- Space group: I-42d (122)

=====

Record 5
DFT (PBE) results for a relaxed structure of ErIn2F11.

Unit cell a=8.402 b=8.402 c=8.402 alpha=122.74 beta=106.40 gamma=100.18
Fractional positions:
Er1 0.250 0.250 0.000
Er2 0.750 0.750 0.000
In1 0.192 0.664 0.856
In2 0.308 0.164 0.472
In3 0.692 0.836 0.528
In4 0.808 0.336 0.144
F1 0.000 0.500 0.500
F2 0.030 0.961 0.275
F3 0.058 0.347 0.137
F4 0.185 0.461 0.931
F5 0.193 0.394 0.587
F6 0.210 0.920 0.863
F7 0.290 0.153 0.710
F8 0.307 0.894 0.202
F9 0.315 0.245 0.275
F10 0.442 0.580 0.290
F11 0.470 0.745 0.931
F12 0.500 0.000 0.500
F13 0.530 0.255 0.069
F14 0.558 0.420 0.710
F15 0.685 0.755 0.725
F16 0.693 0.106 0.798
F17 0.710 0.847 0.290
F18 0.790 0.080 0.137
F19 0.807 0.606 0.413
F20 0.815 0.539 0.069
F21 0.942 0.653 0.863
F22 0.970 0.039 0.725

Results
- Raw formation energy: -2513 meV per atom
- N(E_F): 0.826 states/eV/atom
- M_tot: 4.256 Bohr magnetons per cell
- Space group: Ibam (72)

=====

Record 6
DFT (PBE) results for a relaxed structure of SmDy2Ho5Tm.

Unit cell a=9.608 b=9.608 c=9.608 alpha=124.54 beta=124.54 gamma=82.30
Fractional positions:
Sm1 0.250 0.250 0.000
Sm2 0.750 0.750 0.000
Dy1 0.112 0.612 0.724
Dy2 0.388 0.112 0.500
Dy3 0.612 0.888 0.500
Dy4 0.888 0.388 0.276
Ho1 0.000 0.000 0.000
Ho2 0.073 0.163 0.500
Ho3 0.163 0.663 0.090
Ho4 0.337 0.427 0.500
Ho5 0.427 0.927 0.090
Ho6 0.500 0.500 0.000
Ho7 0.573 0.073 0.910
Ho8 0.663 0.573 0.500
Ho9 0.837 0.337 0.910
Ho10 0.927 0.837 0.500
Tm1 0.250 0.750 0.500
Tm2 0.750 0.250 0.500

Results
- N(E_F): 1.274 states/eV/atom
- M_tot: 0.000 Bohr magnetons per cell
- ΔE_f: 0.30 eV/atom
- Space group: I4/mcm (140)

=====

Record 7
DFT (PBE) results for a relaxed structure of CaPu3Ru.

Unit cell a=5.364 b=5.364 c=5.364 alpha=90.00 beta=90.00 gamma=90.00
Fractional positions:
Ca1 0.000 0.000 0.000
Pu1 0.000 0.500 0.500
Pu2 0.500 0.000 0.500
Pu3 0.500 0.500 0.000
Ru1 0.500 0.500 0.500

Results
- N(E_F): 4.540 states/eV/atom
- M_tot: 17.437 Bohr magnetons per cell
- ΔE_f: 0.17 eV/atom
- Space group: Pm-3m (221)

=====

Record 8
DFT (PBE) results for a relaxed structure of U4Ta3MnC8.

Unit cell a=6.691 b=6.691 c=6.691 alpha=57.83 beta=57.83 gamma=57.83
Fractional positions:
U1 0.000 0.000 0.000
U2 0.000 0.500 0.500
U3 0.500 0.000 0.500
U4 0.500 0.500 0.000
Ta1 0.000 0.000 0.500
Ta2 0.000 0.500 0.000
Ta3 0.500 0.000 0.000
Mn1 0.500 0.500 0.500
C1 0.242 0.242 0.242
C2 0.247 0.737 0.737
C3 0.263 0.263 0.753
C4 0.263 0.753 0.263
C5 0.737 0.247 0.737
C6 0.737 0.737 0.247
C7 0.753 0.263 0.263
C8 0.758 0.758 0.758

Results
- N(E_F): 0.741 states/eV/atom
- M_tot: 1.039 Bohr magnetons per cell
- ΔE_f: -0.31 eV/atom
- Space group: R-3m (166)

=====

Record 9
DFT (PBE) results for a relaxed structure of Pa2ZnNi2.

Unit cell a=7.248 b=7.248 c=3.540 alpha=90.00 beta=90.00 gamma=90.00
Fractional positions:
Pa1 0.177 0.323 0.000
Pa2 0.323 0.823 0.000
Pa3 0.677 0.177 0.000
Pa4 0.823 0.677 0.000
Zn1 0.000 0.000 0.500
Zn2 0.500 0.500 0.500
Ni1 0.127 0.627 0.500
Ni2 0.373 0.127 0.500
Ni3 0.627 0.873 0.500
Ni4 0.873 0.373 0.500

Results
- N(E_F): 1.149 states/eV/atom
- M_tot: 0.000 Bohr magnetons per cell
- Energy above the lowest structure with this stoichiometry: 0 meV per atom
- ΔE_f: -0.35 eV/atom
- Space group: P4/mbm (127)

=====

Record 10
DFT (PBE) results for a relaxed structure of GaTe2Se.

Unit cell a=6.950 b=6.950 c=6.950 alpha=115.96 beta=115.96 gamma=97.15
Fractional positions:
Ga1 0.000 0.000 0.000
Ga2 0.750 0.250 0.500
Te1 0.103 0.125 0.478
Te2 0.375 0.897 0.022
Te3 0.647 0.625 0.522
Te4 0.875 0.353 0.978
Se1 0.250 0.750 0.500
Se2 0.500 0.500 0.000

Results
- Raw formation energy: 114 meV per atom
- N(E_F): 0.883 states/eV/atom
- M_tot: 0.000 Bohr magnetons per cell
- Space group: I-42d (122)

=====

Record 11
DFT (PBE) results for a relaxed structure of BeTeI2Br.

Unit cell a=5.895 b=5.895 c=5.652 alpha=90.00 beta=90.00 gamma=90.00
Fractional positions:
Be1 0.000 0.000 0.000
Te1 0.500 0.500 0.000
I1 0.000 0.500 0.500
I2 0.500 0.000 0.500
Br1 0.500 0.500 0.500

Results
- Raw formation energy: 1063 meV per atom
- N(E_F): 0.797 states/eV/atom
- M_tot: 0.501 Bohr magnetons per cell
- Energy above the lowest structure with this stoichiometry: 797 meV per atom
- Space group: P4/mmm (123)

=====

Record 12
DFT (PBE) results for a relaxed structure of Ac2CePb2O2.

Unit cell a=9.257 b=9.257 c=9.257 alpha=151.16 beta=151.16 gamma=41.24
Fractional positions:
Ac1 0.112 0.112 0.000
Ac2 0.888 0.888 0.000
Ce1 0.500 0.500 0.000
Pb1 0.304 0.304 0.000
Pb2 0.696 0.696 0.000
O1 0.000 0.500 0.500
O2 0.500 0.000 0.500

Results
- Raw formation energy: -1608 meV per atom
- N(E_F): 1.008 states/eV/atom
- M_tot: 0.432 Bohr magnetons per cell
- Space group: I4/mmm (139)

=====

Record 13
DFT (PBE) results for a relaxed structure of AgPSe2.

Unit cell a=2.705 b=2.705 c=12.137 alpha=90.00 beta=90.00 gamma=90.00
Fractional positions:
Ag1 0.000 0.000 0.000
P1 0.500 0.500 0.172
Se1 0.000 0.000 0.465
Se2 0.500 0.500 0.786

Results
- Raw formation energy: 391 meV per atom
- N(E_F): 0.587 states/eV/atom
- M_tot: 0.000 Bohr magnetons per cell
- Space group: P4mm (99)

=====

Record 14
DFT (PBE) results for a relaxed structure of PmBH6.

Unit cell a=3.968 b=3.968 c=3.968 alpha=99.59 beta=99.59 gamma=99.59
Fractional positions:
Pm1 0.000 0.000 0.000
B1 0.500 0.500 0.500
H1 0.244 0.244 0.569
H2 0.244 0.569 0.244
H3 0.431 0.756 0.756
H4 0.569 0.244 0.244
H5 0.756 0.431 0.756
H6 0.756 0.756 0.431

Results
- N(E_F): 0.011 states/eV/atom
- M_tot: 0.000 Bohr magnetons per cell
- Uncorrected energy: -4.04 eV per atom
- Space group: R-3m (166)

=====

Record 15
DFT (PBE) results for a relaxed structure of SrY2MnMo.

Unit cell a=5.555 b=5.555 c=4.769 alpha=90.00 beta=90.00 gamma=90.00
Fractional positions:
Sr1 0.000 0.000 0.000
Y1 0.000 0.500 0.500
Y2 0.500 0.000 0.500
Mn1 0.500 0.500 0.000
Mo1 0.500 0.500 0.500

Results
- N(E_F): 1.129 states/eV/atom
- M_tot: 2.602 Bohr magnetons per cell
- ΔE_f: 0.52 eV/atom
- Space group: P4/mmm (123)

=====

Record 16
DFT (PBE) results for a relaxed structure of In2SbTe2.

Unit cell a=8.544 b=8.544 c=4.346 alpha=90.00 beta=90.00 gamma=90.00
Fractional positions:
In1 0.136 0.364 0.000
In2 0.364 0.864 0.000
In3 0.636 0.136 0.000
In4 0.864 0.636 0.000
Sb1 0.000 0.000 0.500
Sb2 0.500 0.500 0.500
Te1 0.174 0.674 0.500
Te2 0.326 0.174 0.500
Te3 0.674 0.826 0.500
Te4 0.826 0.326 0.500

Results
- Raw formation energy: -13 meV per atom
- N(E_F): 0.709 states/eV/atom
- M_tot: 0.000 Bohr magnetons per cell
- Energy above the lowest structure with this stoichiometry: 0 meV per atom
- Space group: P4/mbm (127)

=====

Record 17
DFT (PBE) results for a relaxed structure of AlReS2Cl.

Unit cell a=4.717 b=4.717 c=4.479 alpha=90.00 beta=90.00 gamma=90.00
Fractional positions:
Al1 0.000 0.000 0.000
Re1 0.500 0.500 0.500
S1 0.000 0.500 0.000
S2 0.500 0.000 0.000
Cl1 0.000 0.000 0.500

Results
- Raw formation energy: 639 meV per atom
- N(E_F): 0.338 states/eV/atom
- M_tot: 4.766 Bohr magnetons per cell
- Energy above the lowest structure with this stoichiometry: 493 meV per atom
- Space group: P4/mmm (123)

=====

Record 18
DFT (PBE) results for a relaxed structure of AgOsAu.

Unit cell a=7.854 b=7.613 c=2.768 alpha=84.64 beta=74.82 gamma=20.54
Fractional positions:
Ag1 0.000 0.000 0.000
Os1 0.335 0.335 0.665
Au1 0.668 0.668 0.332

Results
- N(E_F): 1.203 states/eV/atom
- M_tot: 0.001 Bohr magnetons per cell
- Energy above the lowest structure with this stoichiometry: 78 meV per atom
- ΔE_f: 0.58 eV/atom
- Space group: Fmm2 (42)

=====

Record 19
DFT (PBE) results for a relaxed structure of CsCa2ZnIr.

Unit cell a=5.604 b=5.604 c=5.213 alpha=90.00 beta=90.00 gamma=90.00
Fractional positions:
Cs1 0.000 0.000 0.000
Ca1 0.000 0.500 0.500
Ca2 0.500 0.000 0.500
Zn1 0.500 0.500 0.000
Ir1 0.500 0.500 0.500

Results
- N(E_F): 0.392 states/eV/atom
- M_tot: 0.000 Bohr magnetons per cell
- ΔE_f: -0.03 eV/atom
- Space group: P4/mmm (123)

=====

Record 20
DFT (PBE) results for a relaxed structure of ZrFeTc.

Unit cell a=5.537 b=5.537 c=4.796 alpha=102.43 beta=102.43 gamma=42.93
Fractional positions:
Zr1 0.126 0.126 0.330
Zr2 0.874 0.874 0.670
Fe1 0.198 0.198 0.863
Fe2 0.802 0.802 0.137
Tc1 0.430 0.430 0.193
Tc2 0.570 0.570 0.807

Results
- N(E_F): 0.890 states/eV/atom
- M_tot: 0.001 Bohr magnetons per cell
- Energy above the lowest structure with this stoichiometry: 211 meV per atom
- ΔE_f: -0.06 eV/atom
- Space group: C2/m (12)